Entry 1:
Density functional theory data (PBE-GGA) for an optimized crystal structure of LuNiAs2.

a b c (Å): 3.4077 3.4077 25.3727
angles (deg): 90.00 90.00 120.00
Space group R-3m (No. 166, hexagonal axes)
One atom of each set of equivalent atoms:
Lu 0.0000 0.0000 0.0000 (multiplicity 3)
Ni 0.0000 0.0000 0.5000 (multiplicity 3)
As 0.0000 0.0000 0.1119 (multiplicity 6)

Calculated values
Calculated total energy = -4.98 eV per atom
Crystal system = trigonal
Formation energy = -1.81 kcal/mol of atoms

=====

Entry 2:
Density functional theory data (PBE-GGA) for an optimized crystal structure of RbYRh2.

a b c (Å): 7.0552 7.0552 7.0552
angles (deg): 90.00 90.00 90.00
Space group Fm-3m (No. 225)
One atom of each set of equivalent atoms:
Rb 0.0000 0.0000 0.0000 (multiplicity 4)
Y 0.0000 0.0000 0.5000 (multiplicity 4)
Rh 0.2500 0.2500 0.2500 (multiplicity 8)

Calculated values
Calculated total energy = -5.20 eV per atom
Crystal system = cubic
Formation energy = 7.67 kcal/mol of atoms

=====

Entry 3:
Density functional theory data (PBE-GGA) for an optimized crystal structure of CsNaGe2.

a b c (Å): 8.5877 9.8309 13.4874
angles (deg): 90.00 111.29 90.00
Space group P2_1/c (No. 14)
One atom of each set of equivalent atoms:
Cs 0.0096 0.0200 0.2787 (multiplicity 4)
Cs 0.1529 0.2029 0.0343 (multiplicity 4)
Na 0.4476 0.6023 0.8978 (multiplicity 4)
Na 0.4512 0.5338 0.3125 (multiplicity 4)
Ge 0.2627 0.5977 0.0578 (multiplicity 4)
Ge 0.2821 0.6911 0.6720 (multiplicity 4)
Ge 0.3144 0.6628 0.4899 (multiplicity 4)
Ge 0.4432 0.2213 0.3537 (multiplicity 4)

Calculated values
Calculated total energy = -3.06 eV per atom
Crystal system = monoclinic
Formation energy = -4.78 kcal/mol of atoms

=====

Which of these has the highest formation energy? RbYRh2

=====

Look up the calculated total energy of the third one. -3.06 eV per atom

=====

Look up the formation energy of the first one. -1.81 kcal/mol of atoms

=====

Look up the calculated total energy of the first one. -4.98 eV per atom